A plane-wave DFT calculation with PBE-GGA was carried out for a geometry-optimized Al2Re structure.

Final energy, eV for the cell shown: -20.4
DOS at the Fermi energy, states/eV/cell: 1.42
Energy of formation from the pure elements, meV/atom: -169
Crystal system: tetragonal

Structure (CIF):
```
data_Al2Re
_chemical_formula_sum 'Al2 Re1'
_cell_length_a 4.491
_cell_length_b 4.491
_cell_length_c 2.702
_cell_angle_alpha 90.00
_cell_angle_beta 90.00
_cell_angle_gamma 90.00
_space_group_name_H-M_alt 'P 4/m m m'
_space_group_IT_number 123
_space_group_name_Hall '-P 4 2'
loop_
_atom_site_label
_atom_site_type_symbol
_atom_site_fract_x
_atom_site_fract_y
_atom_site_fract_z
_atom_site_occupancy
Al1 Al 0.000 0.500 0.000 1
Re1 Re 0.000 0.000 0.500 1
```



A plane-wave DFT calculation with PBE-GGA was carried out for a geometry-optimized AlRe structure.

Final energy, eV for the cell shown: -58.4
DOS at the Fermi energy, states/eV/cell: 6.32
Energy of formation from the pure elements, meV/atom: 794
Crystal system: tetragonal

Structure (CIF):
```
data_AlRe
_chemical_formula_sum 'Al4 Re4'
_cell_length_a 5.063
_cell_length_b 5.063
_cell_length_c 5.023
_cell_angle_alpha 90.00
_cell_angle_beta 90.00
_cell_angle_gamma 90.00
_space_group_name_H-M_alt 'P 42/m n m'
_space_group_IT_number 136
_space_group_name_Hall '-P 4n 2n'
loop_
_atom_site_label
_atom_site_type_symbol
_atom_site_fract_x
_atom_site_fract_y
_atom_site_fract_z
_atom_site_occupancy
Al1 Al 0.191 0.191 0.000 1
Re1 Re 0.187 0.187 0.500 1
```



A plane-wave DFT calculation with PBE-GGA was carried out for a geometry-optimized Al6Re structure.

Final energy, eV for the cell shown: -145.5
DOS at the Fermi energy, states/eV/cell: 4.33
Energy of formation from the pure elements, meV/atom: -209
Crystal system: orthorhombic

Structure (CIF):
```
data_Al6Re
_chemical_formula_sum 'Al24 Re4'
_cell_length_a 7.640
_cell_length_b 6.617
_cell_length_c 9.053
_cell_angle_alpha 90.00
_cell_angle_beta 90.00
_cell_angle_gamma 90.00
_space_group_name_H-M_alt 'C m c m'
_space_group_IT_number 63
_space_group_name_Hall '-C 2c 2'
loop_
_atom_site_label
_atom_site_type_symbol
_atom_site_fract_x
_atom_site_fract_y
_atom_site_fract_z
_atom_site_occupancy
Al1 Al 0.000 0.131 0.100 1
Al2 Al 0.176 0.500 0.000 1
Al3 Al 0.180 0.209 0.750 1
Re1 Re 0.000 0.456 0.250 1
```



A plane-wave DFT calculation with PBE-GGA was carried out for a geometry-optimized Al7Re structure.

Final energy, eV for the cell shown: -155.7
DOS at the Fermi energy, states/eV/cell: 24.11
Energy of formation from the pure elements, meV/atom: -36
Crystal system: cubic

Structure (CIF):
```
data_Al7Re
_chemical_formula_sum 'Al28 Re4'
_cell_length_a 7.903
_cell_length_b 7.903
_cell_length_c 7.903
_cell_angle_alpha 90.00
_cell_angle_beta 90.00
_cell_angle_gamma 90.00
_space_group_name_H-M_alt 'F m -3 m'
_space_group_IT_number 225
_space_group_name_Hall '-F 4 2 3'
loop_
_atom_site_label
_atom_site_type_symbol
_atom_site_fract_x
_atom_site_fract_y
_atom_site_fract_z
_atom_site_occupancy
Al1 Al 0.000 0.000 0.000 1
Al2 Al 0.000 0.250 0.250 1
Re1 Re 0.000 0.000 0.500 1
```



A plane-wave DFT calculation with PBE-GGA was carried out for a geometry-optimized Al12Re structure.

Final energy, eV for the cell shown: -118.1
DOS at the Fermi energy, states/eV/cell: 11.26
Energy of formation from the pure elements, meV/atom: -131
Crystal system: cubic

Structure (CIF):
```
data_Al12Re
_chemical_formula_sum 'Al24 Re2'
_cell_length_a 7.541
_cell_length_b 7.541
_cell_length_c 7.541
_cell_angle_alpha 90.00
_cell_angle_beta 90.00
_cell_angle_gamma 90.00
_space_group_name_H-M_alt 'I m -3'
_space_group_IT_number 204
_space_group_name_Hall '-I 2 2 3'
loop_
_atom_site_label
_atom_site_type_symbol
_atom_site_fract_x
_atom_site_fract_y
_atom_site_fract_z
_atom_site_occupancy
Al1 Al 0.000 0.189 0.307 1
Re1 Re 0.000 0.000 0.000 1
```



A plane-wave DFT calculation with PBE-GGA was carried out for a geometry-optimized AlRe structure.

Final energy, eV for the cell shown: -32.6
DOS at the Fermi energy, states/eV/cell: 2.81
Energy of formation from the pure elements, meV/atom: -64
Crystal system: trigonal

Structure (CIF):
```
data_AlRe
_chemical_formula_sum 'Al2 Re2'
_cell_length_a 2.8213
_cell_length_b 2.8213
_cell_length_c 8.8051
_cell_angle_alpha 90.00
_cell_angle_beta 90.00
_cell_angle_gamma 120.00
_space_group_name_H-M_alt 'P -3 m 1'
_space_group_IT_number 164
_space_group_name_Hall '-P 3 2"'
loop_
_atom_site_label
_atom_site_type_symbol
_atom_site_fract_x
_atom_site_fract_y
_atom_site_fract_z
_atom_site_occupancy
Al1 Al 0.3333 0.6667 0.1330 1
Re1 Re 0.3333 0.6667 0.6192 1
```



no.,M_tot (μB/f.u.)
1,0.00
2,0.00
3,0.00
4,0.00
5,0.00
6,0.00